Model one:
Material: LaOs3O
Method: DFT, PBE-GGA
State: relaxed

calculated volume: 121 Å³ per cell
space group: No. 221

a b c (Å): 4.952 4.952 4.952
angles (deg): 90.00 90.00 90.00
Element x y z (fractional)
La (0.000, 0.000, 0.000)
Os (0.000, 0.000, 0.500)
Os (0.000, 0.500, 0.000)
Os (0.500, 0.000, 0.000)
O (0.500, 0.500, 0.500)


Model two:
Material: LaOs3O
Method: DFT, PBE-GGA
State: relaxed

calculated volume: 80 Å³ per cell
space group: No. 221

a b c (Å): 4.304 4.304 4.304
angles (deg): 90.00 90.00 90.00
Element x y z (fractional)
La (0.000, 0.000, 0.000)
Os (0.000, 0.500, 0.500)
Os (0.500, 0.000, 0.500)
Os (0.500, 0.500, 0.000)
O (0.500, 0.500, 0.500)


Which one sits at the bottom of the stability order? model one does.


Model one:
Material: LaP2OsO
Method: DFT, PBE-GGA
State: relaxed

calculated volume: 125 Å³ per cell
space group: No. 123

a b c (Å): 5.543 5.543 4.064
angles (deg): 90.00 90.00 90.00
Element x y z (fractional)
La (0.000, 0.000, 0.000)
P (0.000, 0.500, 0.000)
P (0.500, 0.000, 0.000)
Os (0.500, 0.500, 0.500)
O (0.000, 0.000, 0.500)


Model two:
Material: LaP2OsO
Method: DFT, PBE-GGA
State: relaxed

calculated volume: 91 Å³ per cell
space group: No. 123

a b c (Å): 4.909 4.909 3.790
angles (deg): 90.00 90.00 90.00
Element x y z (fractional)
La (0.000, 0.000, 0.000)
P (0.000, 0.500, 0.500)
P (0.500, 0.000, 0.500)
Os (0.500, 0.500, 0.500)
O (0.500, 0.500, 0.000)


Which one sits at the bottom of the stability order? model one does.


Model one:
Material: LaPOsO2
Method: DFT, PBE-GGA
State: relaxed

calculated volume: 79 Å³ per cell
space group: No. 123

a b c (Å): 4.027 4.027 4.865
angles (deg): 90.00 90.00 90.00
Element x y z (fractional)
La (0.000, 0.000, 0.000)
P (0.500, 0.500, 0.000)
Os (0.500, 0.500, 0.500)
O (0.000, 0.500, 0.500)
O (0.500, 0.000, 0.500)


Model two:
Material: LaPOsO2
Method: DFT, PBE-GGA
State: relaxed

calculated volume: 111 Å³ per cell
space group: No. 123

a b c (Å): 4.068 4.068 6.736
angles (deg): 90.00 90.00 90.00
Element x y z (fractional)
La (0.000, 0.000, 0.000)
P (0.000, 0.000, 0.500)
Os (0.500, 0.500, 0.500)
O (0.000, 0.500, 0.000)
O (0.500, 0.000, 0.000)


Which one sits at the bottom of the stability order? model two does.


Model one:
Material: LaP3O
Method: DFT, PBE-GGA
State: relaxed

calculated volume: 172 Å³ per cell
space group: No. 221

a b c (Å): 5.566 5.566 5.566
angles (deg): 90.00 90.00 90.00
Element x y z (fractional)
La (0.000, 0.000, 0.000)
P (0.000, 0.000, 0.500)
P (0.000, 0.500, 0.000)
P (0.500, 0.000, 0.000)
O (0.500, 0.500, 0.500)


Model two:
Material: LaP3O
Method: DFT, PBE-GGA
State: relaxed

calculated volume: 85 Å³ per cell
space group: No. 221

a b c (Å): 4.390 4.390 4.390
angles (deg): 90.00 90.00 90.00
Element x y z (fractional)
La (0.000, 0.000, 0.000)
P (0.000, 0.500, 0.500)
P (0.500, 0.000, 0.500)
P (0.500, 0.500, 0.000)
O (0.500, 0.500, 0.500)


Which one sits at the bottom of the stability order? model one does.


Model one:
Material: La3PO
Method: DFT, PBE-GGA
State: relaxed

calculated volume: 118 Å³ per cell
space group: No. 221

a b c (Å): 4.899 4.899 4.899
angles (deg): 90.00 90.00 90.00
Element x y z (fractional)
La (0.000, 0.000, 0.500)
La (0.000, 0.500, 0.000)
La (0.500, 0.000, 0.000)
P (0.500, 0.500, 0.500)
O (0.000, 0.000, 0.000)


Model two:
Material: La3PO
Method: DFT, PBE-GGA
State: relaxed

calculated volume: 246 Å³ per cell
space group: No. 11

a b c (Å): 6.880 3.864 9.542
angles (deg): 90.00 104.53 90.00
Element x y z (fractional)
La (0.080, 0.250, 0.325)
La (0.286, 0.750, 0.065)
La (0.406, 0.750, 0.635)
La (0.594, 0.250, 0.365)
La (0.714, 0.250, 0.935)
La (0.920, 0.750, 0.675)
P (0.257, 0.250, 0.824)
P (0.743, 0.750, 0.176)
O (0.327, 0.750, 0.352)
O (0.673, 0.250, 0.648)


Which one sits at the bottom of the stability order? model one does.


Model one:
Material: LaPPbO2
Method: DFT, PBE-GGA
State: relaxed

calculated volume: 98 Å³ per cell
space group: No. 123

a b c (Å): 4.351 4.351 5.168
angles (deg): 90.00 90.00 90.00
Element x y z (fractional)
La (0.000, 0.000, 0.000)
P (0.500, 0.500, 0.000)
Pb (0.500, 0.500, 0.500)
O (0.000, 0.500, 0.500)
O (0.500, 0.000, 0.500)


Model two:
Material: LaPPbO2
Method: DFT, PBE-GGA
State: relaxed

calculated volume: 118 Å³ per cell
space group: No. 123

a b c (Å): 4.334 4.334 6.287
angles (deg): 90.00 90.00 90.00
Element x y z (fractional)
La (0.000, 0.000, 0.000)
P (0.000, 0.000, 0.500)
Pb (0.500, 0.500, 0.500)
O (0.000, 0.500, 0.000)
O (0.500, 0.000, 0.000)


Which one sits at the bottom of the stability order? model one does.


Model one:
Material: LaP2PbO
Method: DFT, PBE-GGA
State: relaxed

calculated volume: 146 Å³ per cell
space group: No. 123

a b c (Å): 5.862 5.862 4.263
angles (deg): 90.00 90.00 90.00
Element x y z (fractional)
La (0.000, 0.000, 0.000)
P (0.000, 0.500, 0.000)
P (0.500, 0.000, 0.000)
Pb (0.500, 0.500, 0.500)
O (0.000, 0.000, 0.500)


Model two:
Material: LaP2PbO
Method: DFT, PBE-GGA
State: relaxed

calculated volume: 115 Å³ per cell
space group: No. 123

a b c (Å): 5.156 5.156 4.332
angles (deg): 90.00 90.00 90.00
Element x y z (fractional)
La (0.000, 0.000, 0.000)
P (0.000, 0.500, 0.500)
P (0.500, 0.000, 0.500)
Pb (0.500, 0.500, 0.500)
O (0.500, 0.500, 0.000)


Which one sits at the bottom of the stability order? model one does.


Model one:
Material: LaP2PtO
Method: DFT, PBE-GGA
State: relaxed

calculated volume: 94 Å³ per cell
space group: No. 123

a b c (Å): 4.681 4.681 4.307
angles (deg): 90.00 90.00 90.00
Element x y z (fractional)
La (0.000, 0.000, 0.000)
P (0.000, 0.500, 0.500)
P (0.500, 0.000, 0.500)
Pt (0.500, 0.500, 0.500)
O (0.500, 0.500, 0.000)


Model two:
Material: LaP2PtO
Method: DFT, PBE-GGA
State: relaxed

calculated volume: 127 Å³ per cell
space group: No. 123

a b c (Å): 5.592 5.592 4.066
angles (deg): 90.00 90.00 90.00
Element x y z (fractional)
La (0.000, 0.000, 0.000)
P (0.000, 0.500, 0.000)
P (0.500, 0.000, 0.000)
Pt (0.500, 0.500, 0.500)
O (0.000, 0.000, 0.500)


Which one sits at the bottom of the stability order? model two does.